DFT (PBE) results for a geometry-optimized ZrI structure.

Lattice parameters (Å, degrees): 3.8083 7.4688 7.4688 127.00 90.00 90.00
Closest atoms and distances in Å follow each position.
Element x y z (fractional)
Zr: 0.0000 0.0000 0.0000  4 I 2.89-2.96, 4 Zr 3.08
Zr: 0.5000 0.2304 0.8723  5 I 2.99-3.01, 2 Zr 3.08
Zr: 0.5000 0.8723 0.2304  5 I 2.99-3.01, 2 Zr 3.08
I: 0.0000 0.5405 0.8740  5 Zr 2.96-2.99
I: 0.0000 0.8740 0.5405  5 Zr 2.96-2.99
I: 0.5000 0.3256 0.3256  4 Zr 2.89-3.01

Calculated values
**Formation energy from raw total energies**: -0.439 eV per formula unit
**Calculated volume**: 28.276 Å³/atom
**DFT total energy**: -31.611 eV/cell
**Symmetry**: Amm2
**Total magnetization**: 0.00 μB/cell